{
  "formula": "Ta2BeFe2Co5",
  "functional": "GGA-PBE",
  "state": "relaxed",
  "spacegroup": "P4/mbm (127)",
  "ef_ev_per_atom": 0.024,
  "dos_ef_per_ev_atom": 1.23,
  "cell": [[8.207, 0.000, 0.000], [0.000, 8.207, 0.000], [0.000, 0.000, 3.613]],
  "species": ["Ta", "Ta", "Ta", "Ta", "Be", "Be", "Fe", "Fe", "Fe", "Fe", "Co", "Co", "Co", "Co", "Co", "Co", "Co", "Co", "Co", "Co"],
  "frac_coords": [[0.167, 0.333, 0.000], [0.333, 0.833, 0.000], [0.667, 0.167, 0.000], [0.833, 0.667, 0.000], [0.000, 0.000, 0.000], [0.500, 0.500, 0.000], [0.132, 0.632, 0.000], [0.368, 0.132, 0.000], [0.632, 0.868, 0.000], [0.868, 0.368, 0.000], [0.000, 0.500, 0.500], [0.066, 0.804, 0.500], [0.196, 0.066, 0.500], [0.304, 0.566, 0.500], [0.434, 0.304, 0.500], [0.500, 0.000, 0.500], [0.566, 0.696, 0.500], [0.696, 0.434, 0.500], [0.804, 0.934, 0.500], [0.934, 0.196, 0.500]]
}